(1)
Entry from the Alexandria database: Ac2SiO4F2 after structural relaxation (PBE-GGA).

Uncorrected formation energy: -3.294 eV/atom
Space group: No. 139

The structure in POSCAR format:
```
Ac2SiO4F2
1.0
-0.805 4.545 2.886
-0.615 -4.725 2.634
5.088 -0.984 -1.668
Ac O F Si
2 4 2 1
Direct
0.500 0.750 0.250
0.500 0.250 0.750
0.565 0.783 0.783
0.000 0.783 0.217
0.000 0.217 0.783
0.435 0.217 0.217
0.000 0.255 0.255
0.000 0.745 0.745
0.000 0.000 0.000
```


(2)
Entry from the Alexandria database: Ac3SiO6F2 after structural relaxation (PBE-GGA).

Uncorrected formation energy: -2.764 eV/atom
Space group: No. 12

The structure in POSCAR format:
```
Ac3SiO6F2
1.0
-1.147 3.023 -4.260
-6.645 -1.207 0.932
2.879 5.493 2.701
O F Si Ac
6 2 1 3
Direct
0.672 0.864 0.729
0.328 0.136 0.271
0.302 0.732 0.893
0.698 0.839 0.107
0.698 0.268 0.107
0.302 0.161 0.893
0.813 0.312 0.624
0.187 0.688 0.376
0.500 0.000 0.000
0.500 0.000 0.500
0.500 0.500 0.500
0.000 0.500 0.000
```


(3)
Entry from the Alexandria database: AcTa3O8F2 after structural relaxation (PBE-GGA).

Uncorrected formation energy: -2.585 eV/atom
Space group: No. 160

The structure in POSCAR format:
```
AcTa3O8F2
1.0
-0.891 4.718 3.636
-5.539 1.249 2.009
-1.016 -2.201 7.595
O Ta Ac F
8 3 1 2
Direct
0.295 0.774 0.157
0.716 0.716 0.853
0.223 0.223 0.871
0.774 0.295 0.157
0.280 0.280 0.161
0.223 0.684 0.871
0.684 0.223 0.871
0.774 0.774 0.157
0.495 0.495 0.007
0.495 0.003 0.007
0.003 0.495 0.007
0.862 0.862 0.414
0.502 0.502 0.495
0.169 0.169 0.494
```